The following is a PBE-GGA calculation of a relaxed structure of Ta4GaH, from Alexandria via LeMat-Bulk.

Cell lengths 7.598, 7.864, 3.360 Å; angles 90.00, 90.00, 90.00 degrees
Space group Cmmm (No. 65)
Unique sites:
Ta1 0.000 0.183 0.000 [4 per cell]
Ta2 0.247 0.000 0.500 [4 per cell]
Ga1 0.000 0.500 0.000 [2 per cell]
H1 0.000 0.000 0.500 [2 per cell]

Results
D(E_F) = 9.02 states/eV per cell
E_tot = -101.788 eV/cell

---

The following is a PBE-GGA calculation of a relaxed structure of ThZn2Pt3, from Alexandria via LeMat-Bulk.

Cell lengths 9.497, 9.069, 5.317 Å; angles 90.00, 90.00, 90.00 degrees
Space group Cmcm (No. 63)
Unique sites:
Th1 0.000 0.227 0.250 [4 per cell]
Zn1 0.238 0.500 0.000 [8 per cell]
Pt1 0.000 0.457 0.750 [4 per cell]
Pt2 0.180 0.224 0.750 [8 per cell]

Results
D(E_F) = 12.73 states/eV per cell
E_tot = -130.511 eV/cell

---

The following is a PBE-GGA calculation of a relaxed structure of K2BeFe, from Alexandria via LeMat-Bulk.

Cell lengths 20.181, 3.249, 3.329 Å; angles 90.00, 98.51, 90.00 degrees
Space group C2/m (No. 12)
Unique sites:
K1 0.145 0.000 0.128 [4 per cell]
Be1 0.000 0.500 0.000 [2 per cell]
Fe1 0.000 0.000 0.500 [2 per cell]

Results
D(E_F) = 7.13 states/eV per cell
E_tot = -23.457 eV/cell

---

Q: Look up the D(E_F) of the second one.
A: 12.73 states/eV per cell

---

Q: Which formula does entry 1 have?
A: Ta4GaH

---

Q: Which formula does entry 3 have?
A: K2BeFe